Record 1
Material: Ba3TiHg
Method: DFT, GGA-PBE
State: relaxed

- Total magnetic moment: 0.56 μB/atom
- DFT formation energy: 0.504 eV/atom
- V: 275.3 Å³/cell
- Space group: No. 221

a = 6.5050 Å, b = 6.5050 Å, c = 6.5050 Å
α = 90.00°, β = 90.00°, γ = 90.00°
With the nearest neighbours (Å) after each atom.
Atoms (fractional coordinates):
Ti 0.5000 0.5000 0.5000  12 Ba 4.60
Hg 0.0000 0.0000 0.0000  6 Ba 3.25
Ba 0.0000 0.5000 0.0000  2 Hg 3.25
Ba 0.0000 0.0000 0.5000  2 Hg 3.25
Ba 0.5000 0.0000 0.0000  2 Hg 3.25

---

Record 2
Material: PrTcGe2Ir
Method: DFT, GGA-PBE
State: relaxed

- Total magnetic moment: 0.00 μB/atom
- DFT formation energy: -0.626 eV/atom
- V: 95.2 Å³/cell
- Space group: No. 119

a = 4.3201 Å, b = 4.3201 Å, c = 5.9443 Å
α = 111.31°, β = 111.31°, γ = 90.00°
With the nearest neighbours (Å) after each atom.
Atoms (fractional coordinates):
Pr 0.0000 0.0000 0.0000  8 Ge 3.33, 4 Tc 3.34, 4 Ir 3.34
Tc 0.7500 0.2500 0.5000  4 Ge 2.48
Ge 0.6307 0.6307 0.2614  2 Tc 2.48, 2 Ir 2.48, 1 Ge 2.67
Ge 0.3693 0.3693 0.7386  2 Tc 2.48, 2 Ir 2.48, 1 Ge 2.67
Ir 0.2500 0.7500 0.5000  4 Ge 2.48

---

Record 3
Material: Sc4PtRh2
Method: DFT, GGA-PBE
State: relaxed

- Total magnetic moment: 0.00 μB/atom
- DFT formation energy: -0.935 eV/atom
- V: 133.7 Å³/cell
- Space group: No. 166

a = 4.5609 Å, b = 4.5609 Å, c = 7.8730 Å
α = 73.16°, β = 73.16°, γ = 60.00°
With the nearest neighbours (Å) after each atom.
Atoms (fractional coordinates):
Sc 0.8724 0.8724 0.3827  4 Rh 2.76-2.82, 1 Pt 2.84
Sc 0.1276 0.1276 0.6173  4 Rh 2.76-2.82, 1 Pt 2.84
Sc 0.6211 0.6211 0.1366  4 Rh 2.75-2.83, 3 Pt 2.82
Sc 0.3789 0.3789 0.8634  4 Rh 2.75-2.83, 3 Pt 2.82
Pt 0.0000 0.0000 0.0000  8 Sc 2.82-2.84
Rh 0.7484 0.7484 0.7549  8 Sc 2.75-2.83
Rh 0.2516 0.2516 0.2451  8 Sc 2.75-2.83

---

Record 4
Material: Na2H3N
Method: DFT, GGA-PBE
State: relaxed

- Total magnetic moment: 0.00 μB/atom
- DFT total energy: -43.16 eV per cell
- V: 224.8 Å³/cell
- Space group: No. 69

a = 6.0252 Å, b = 6.0252 Å, c = 7.4810 Å
α = 112.96°, β = 112.96°, γ = 91.79°
With the nearest neighbours (Å) after each atom.
Atoms (fractional coordinates):
Na 0.2500 0.7500 0.5000  8 H 3.05-3.15, 4 N 3.36
Na 0.8042 0.8042 0.0000  4 H 2.93, 2 N 3.01
Na 0.7500 0.2500 0.5000  8 H 3.05-3.15, 4 N 3.36
Na 0.1958 0.1958 0.0000  4 H 2.93, 2 N 3.01
H 0.4862 0.6942 0.1804  1 N 1.02
H 0.3058 0.5138 0.8196  1 N 1.02
H 0.5138 0.3058 0.8196  1 N 1.02
H 0.6942 0.4862 0.1804  1 N 1.02
H 0.2887 0.2887 0.5775  1 N 1.02
H 0.7113 0.7113 0.4225  1 N 1.02
N 0.6290 0.6290 0.2581  3 H 1.02
N 0.3710 0.3710 0.7419  3 H 1.02

---

Record 5
Material: NaSn6Rh6
Method: DFT, GGA-PBE
State: relaxed

- Total magnetic moment: 0.00 μB/atom
- DFT formation energy: -0.458 eV/atom
- V: 242.6 Å³/cell
- Space group: No. 71

a = 5.6871 Å, b = 7.1474 Å, c = 7.1474 Å
α = 74.75°, β = 66.56°, γ = 66.56°
With the nearest neighbours (Å) after each atom.
Atoms (fractional coordinates):
Na 0.0000 0.0000 0.0000  2 Sn 2.87
Sn 0.3321 0.6679 0.6679  6 Rh 2.71-2.72
Sn 0.6679 0.3321 0.3321  6 Rh 2.71-2.72
Sn 0.0000 0.3309 0.6691  1 Na 2.87, 6 Rh 2.92-2.93, 1 Sn 2.93
Sn 0.0000 0.6691 0.3309  1 Na 2.87, 6 Rh 2.92-2.93, 1 Sn 2.93
Sn 0.3344 0.1656 0.1656  6 Rh 2.72-2.73
Sn 0.6656 0.8344 0.8344  6 Rh 2.72-2.73
Rh 0.0000 0.5000 0.0000  6 Sn 2.72-2.93, 4 Rh 2.84
Rh 0.5000 0.5000 0.0000  6 Sn 2.72-2.93, 4 Rh 2.84
Rh 0.0000 0.0000 0.5000  6 Sn 2.72-2.93, 4 Rh 2.84
Rh 0.5000 0.0000 0.5000  6 Sn 2.72-2.93, 4 Rh 2.84
Rh 0.5000 0.7471 0.2529  6 Sn 2.71-2.92, 4 Rh 2.84
Rh 0.5000 0.2529 0.7471  6 Sn 2.71-2.92, 4 Rh 2.84

---

Record 6
Material: Sb3PbO6
Method: DFT, GGA-PBE
State: relaxed

- Total magnetic moment: 0.00 μB/atom
- DFT total energy: -57.88 eV per cell
- V: 173.1 Å³/cell
- Space group: No. 1

a = 4.1773 Å, b = 6.3707 Å, c = 6.8904 Å
α = 105.56°, β = 90.57°, γ = 78.82°
With the nearest neighbours (Å) after each atom.
Atoms (fractional coordinates):
Sb 0.7500 0.5699 0.1064  3 O 2.01-2.05
Sb 0.7566 0.9978 0.5967  5 O 2.01-2.21
Sb 0.4076 0.5685 0.6012  5 O 2.09-2.22
Pb 0.2923 0.0834 0.0871  3 O 2.32-2.55
O 0.2912 0.9063 0.6166  3 Sb 2.09-2.21
O 0.4075 0.6888 0.9336  2 Sb 2.02-2.21
O 0.7314 0.8901 0.2754  2 Sb 2.05-2.14
O 0.7146 0.1322 0.8975  1 Sb 2.01
O 0.8686 0.6695 0.5999  3 Sb 2.06-2.22
O 0.4413 0.4936 0.2857  2 Sb 2.01-2.10

---

Record 7
Material: BaMn2Mo
Method: DFT, GGA-PBE
State: relaxed

- Total magnetic moment: 1.28 μB/atom
- DFT formation energy: 0.776 eV/atom
- V: 95.1 Å³/cell
- Space group: No. 44

a = 7.1478 Å, b = 7.1478 Å, c = 7.1478 Å
α = 151.83°, β = 146.41°, γ = 44.40°
With the nearest neighbours (Å) after each atom.
Atoms (fractional coordinates):
Ba 0.2923 0.7923 0.5000  4 Mn 3.31, 2 Ba 3.48, 2 Mo 3.60
Mn 0.0300 0.0300 0.0000  2 Mn 2.58, 4 Mo 2.70
Mn 0.6472 0.1472 0.5000  2 Mo 2.33, 2 Mn 2.58
Mo 0.5305 0.5305 0.0000  2 Mn 2.33

---

Record 8
Material: Pr3Tm2In7
Method: DFT, GGA-PBE
State: relaxed

- Total magnetic moment: 0.00 μB/atom
- DFT formation energy: -0.244 eV/atom
- V: 355.9 Å³/cell
- Space group: No. 65

a = 4.9448 Å, b = 4.8688 Å, c = 14.9827 Å
α = 99.35°, β = 90.00°, γ = 90.00°
With the nearest neighbours (Å) after each atom.
Atoms (fractional coordinates):
Pr 0.5000 0.5000 0.0000  12 In 3.39-3.47
Pr 0.5000 0.6530 0.3061  6 In 3.26-3.30, 4 Tm 3.47
Pr 0.5000 0.3470 0.6939  6 In 3.26-3.30, 4 Tm 3.47
Tm 0.0000 0.8445 0.6890  7 In 3.22-3.47, 4 Pr 3.47
Tm 0.0000 0.1555 0.3110  7 In 3.22-3.47, 4 Pr 3.47
In 0.0000 0.4210 0.8421  4 Pr 3.30-3.40, 2 Tm 3.32, 6 In 3.37-3.47
In 0.0000 0.7270 0.4540  2 In 2.79
In 0.0000 0.0000 0.0000  8 In 3.37-3.42, 4 Pr 3.47
In 0.0000 0.5790 0.1579  4 Pr 3.30-3.40, 2 Tm 3.32, 6 In 3.37-3.47
In 0.5000 0.0798 0.1597  4 Pr 3.26-3.39, 2 Tm 3.33, 6 In 3.42-3.47
In 0.5000 0.9202 0.8403  4 Pr 3.26-3.39, 2 Tm 3.33, 6 In 3.42-3.47
In 0.0000 0.2730 0.5460  2 In 2.79

---

no.,N(E_F) (states/eV per atom)
1,1.655
2,0.571
3,0.610
4,0.213
5,0.520
6,0.391
7,0.915
8,0.931